# 1
A plane-wave DFT calculation with PBE was carried out for CsSrDyBr6 after structural relaxation.

## Properties
N(E_F) ... 0.00 states/eV per atom
Magnetization ... 0.00 μB/cell
Calculated total energy ... -3.88 eV/atom
Uncorrected formation energy ... -1.98 eV/atom
Symmetry ... P-31c

a b c (Å): 7.758 7.758 15.643
angles (deg): 90.00 90.00 120.00
Atoms (fractional coordinates):
Br1 0.612 0.636 0.645
Br2 0.364 0.976 0.645
Br3 0.976 0.612 0.355
Br4 0.024 0.388 0.645
Br5 0.612 0.976 0.855
Br6 0.388 0.024 0.145
Br7 0.976 0.364 0.145
Br8 0.024 0.636 0.855
Br9 0.636 0.612 0.145
Br10 0.636 0.024 0.355
Br11 0.364 0.388 0.855
Br12 0.388 0.364 0.355
Cs1 0.000 0.000 0.000
Cs2 0.000 0.000 0.500
Sr1 0.667 0.333 0.750
Sr2 0.333 0.667 0.250
Dy1 0.333 0.667 0.750
Dy2 0.667 0.333 0.250


# 2
A plane-wave DFT calculation with PBE was carried out for Ba2LaP2Cl2 after structural relaxation.

## Properties
N(E_F) ... 0.47 states/eV per atom
Magnetization ... 0.00 μB/cell
Calculated total energy ... -4.90 eV/atom
Uncorrected formation energy ... -1.58 eV/atom
Symmetry ... I4/mmm

a b c (Å): 5.561 5.561 8.929
angles (deg): 108.14 108.14 90.00
Atoms (fractional coordinates):
Cl1 0.815 0.815 0.629
Cl2 0.185 0.185 0.371
P1 0.000 0.500 0.000
P2 0.500 0.000 0.000
La1 0.000 0.000 0.000
Ba1 0.622 0.622 0.245
Ba2 0.378 0.378 0.755


# 3
A plane-wave DFT calculation with PBE was carried out for Ga3GeC after structural relaxation.

## Properties
N(E_F) ... 0.60 states/eV per atom
ΔE to the lowest computed polymorph ... 954 meV per atom
Magnetization ... 1.45 μB/cell
Calculated total energy ... -2.96 eV/atom
Formation energy ... 1628 meV per atom
Symmetry ... Pm-3m

a b c (Å): 4.946 4.946 4.946
angles (deg): 90.00 90.00 90.00
Last column: magnetic moment on the atom in μB.
Atoms (fractional coordinates):
C1 0.500 0.500 0.500  0.77
Ga1 0.000 0.500 0.000  -0.04
Ga2 0.500 0.000 0.000  -0.04
Ga3 0.000 0.000 0.500  0.00
Ge1 0.000 0.000 0.000  0.01


# 4
A plane-wave DFT calculation with PBE was carried out for TlMoW2 after structural relaxation.

## Properties
N(E_F) ... 0.52 states/eV per atom
ΔE to the lowest computed polymorph ... 241 meV per atom
Magnetization ... 0.00 μB/cell
Calculated total energy ... -9.03 eV/atom
Formation energy ... 744 meV per atom
Symmetry ... I4/mmm

a b c (Å): 5.115 5.115 5.115
angles (deg): 133.52 133.52 67.84
Atoms (fractional coordinates):
Tl1 0.750 0.250 0.500
Mo1 0.250 0.750 0.500
W1 0.000 0.000 0.000
W2 0.500 0.500 0.000


calculated total energy of number 4 (TlMoW2)?
-9.03 eV/atom


Among the records above, which one has the lowest N(E_F)?
CsSrDyBr6